Record 1
## CoTc2Sb (PBE-GGA)

Data for CoTc2Sb after structural relaxation.

Properties
Energy relative to the elements, uncorrected ... 36.33 kJ/mol of atoms

Unit cell a=4.7057 b=4.7057 c=2.9961 alpha=90.00 beta=90.00 gamma=113.02
Sites, in units of the cell vectors:
Co 0.0000 0.0000 0.0000
Tc 0.0000 0.5000 0.5000
Tc 0.5000 0.0000 0.5000
Sb 0.5000 0.5000 0.0000



Record 2
## Co2TcSb (PBE-GGA)

Data for Co2TcSb after structural relaxation.

Properties
Energy relative to the elements, uncorrected ... 49.26 kJ/mol of atoms

Unit cell a=8.1246 b=8.1246 c=8.1246 alpha=21.02 beta=21.02 gamma=21.02
Sites, in units of the cell vectors:
Co 0.0000 0.0000 0.0000
Co 0.2592 0.2592 0.2592
Tc 0.7476 0.7476 0.7476
Sb 0.5063 0.5063 0.5063



Record 3
## Co2TcSb (PBE-GGA)

Data for Co2TcSb after structural relaxation.

Properties
Energy relative to the elements, uncorrected ... 27.82 kJ/mol of atoms

Unit cell a=4.5452 b=4.5452 c=4.5517 alpha=100.82 beta=100.82 gamma=38.15
Sites, in units of the cell vectors:
Co 0.2461 0.2461 0.2228
Co 0.7539 0.7539 0.7772
Tc 0.5000 0.5000 0.0000
Sb 0.0000 0.0000 0.5000



Record 4
## CoTcSb4 (PBE-GGA)

Data for CoTcSb4 after structural relaxation.

Properties
Energy relative to the elements, uncorrected ... 124.12 kJ/mol of atoms
Polymorph energy (0 for the lowest one) ... 1344.6 meV/atom

Unit cell a=6.0289 b=6.0289 c=6.0289 alpha=60.00 beta=60.00 gamma=60.00
Sites, in units of the cell vectors:
Co 0.0000 0.0000 0.0000
Tc 0.2500 0.2500 0.2500
Sb 0.1233 0.6256 0.6256
Sb 0.6256 0.1233 0.6256
Sb 0.6256 0.6256 0.1233
Sb 0.6256 0.6256 0.6256



Record 5
## Co4TcSb (PBE-GGA)

Data for Co4TcSb after structural relaxation.

Properties
Energy relative to the elements, uncorrected ... 22.62 kJ/mol of atoms

Unit cell a=4.7996 b=4.7996 c=4.7996 alpha=60.00 beta=60.00 gamma=60.00
Sites, in units of the cell vectors:
Co 0.1252 0.1252 0.1252
Co 0.1252 0.1252 0.6244
Co 0.1252 0.6244 0.1252
Co 0.6244 0.1252 0.1252
Tc 0.5000 0.5000 0.5000
Sb 0.7500 0.7500 0.7500



Record 6
## CoTc2Sb (PBE-GGA)

Data for CoTc2Sb after structural relaxation.

Properties
Energy relative to the elements, uncorrected ... 23.01 kJ/mol of atoms

Unit cell a=2.9592 b=3.7243 c=5.5145 alpha=90.00 beta=90.00 gamma=90.00
Sites, in units of the cell vectors:
Co 0.0000 0.0000 0.0000
Tc 0.0000 0.0000 0.5305
Tc 0.5000 0.5000 0.7482
Sb 0.5000 0.5000 0.2347



Record 7
## CoTcSb3 (PBE-GGA)

Data for CoTcSb3 after structural relaxation.

Properties
Energy relative to the elements, uncorrected ... 83.96 kJ/mol of atoms
Polymorph energy (0 for the lowest one) ... 0.0 meV/atom

Unit cell a=4.8759 b=4.8759 c=4.8759 alpha=90.00 beta=90.00 gamma=90.00
Sites, in units of the cell vectors:
Co 0.0000 0.0000 0.0000
Tc 0.5000 0.5000 0.5000
Sb 0.0000 0.0000 0.5000
Sb 0.0000 0.5000 0.0000
Sb 0.5000 0.0000 0.0000



Record 8
## CoTc2Sb (PBE-GGA)

Data for CoTc2Sb after structural relaxation.

Properties
Energy relative to the elements, uncorrected ... 48.38 kJ/mol of atoms

Unit cell a=8.4207 b=8.4207 c=8.4207 alpha=20.24 beta=20.24 gamma=20.24
Sites, in units of the cell vectors:
Co 0.0000 0.0000 0.0000
Tc 0.2549 0.2549 0.2549
Tc 0.7451 0.7451 0.7451
Sb 0.5000 0.5000 0.5000



Record 9
## CoTc2Sb (PBE-GGA)

Data for CoTc2Sb after structural relaxation.

Properties
Energy relative to the elements, uncorrected ... 23.95 kJ/mol of atoms

Unit cell a=4.6989 b=4.6989 c=4.6831 alpha=100.59 beta=100.59 gamma=37.11
Sites, in units of the cell vectors:
Co 0.0000 0.0000 0.0000
Tc 0.2629 0.2629 0.7873
Tc 0.7371 0.7371 0.2127
Sb 0.5000 0.5000 0.5000



Record 10
## CoTcSb (PBE-GGA)

Data for CoTcSb after structural relaxation.

Properties
Energy relative to the elements, uncorrected ... 29.57 kJ/mol of atoms
Polymorph energy (0 for the lowest one) ... 104.7 meV/atom

Unit cell a=4.2683 b=4.2683 c=2.9441 alpha=90.00 beta=90.00 gamma=120.00
Sites, in units of the cell vectors:
Co 0.0000 0.0000 0.0000
Tc 0.3333 0.6667 0.5058
Sb 0.6667 0.3333 0.0110



Record 11
## CoTcSb4 (PBE-GGA)

Data for CoTcSb4 after structural relaxation.

Properties
Energy relative to the elements, uncorrected ... -5.62 kJ/mol of atoms
Polymorph energy (0 for the lowest one) ... 0.0 meV/atom

Unit cell a=8.3597 b=8.3597 c=5.7760 alpha=109.94 beta=109.94 gamma=119.36
Sites, in units of the cell vectors:
Co 0.1972 0.8028 0.7500
Co 0.8028 0.1972 0.2500
Tc 0.4571 0.5429 0.2500
Tc 0.5429 0.4571 0.7500
Sb 0.1267 0.5132 0.2815
Sb 0.1283 0.2478 0.6328
Sb 0.2478 0.1283 0.1328
Sb 0.4868 0.8733 0.2185
Sb 0.5132 0.1267 0.7815
Sb 0.7522 0.8717 0.8672
Sb 0.8717 0.7522 0.3672
Sb 0.8733 0.4868 0.7185



Record 12
## Co2TcSb (PBE-GGA)

Data for Co2TcSb after structural relaxation.

Properties
Energy relative to the elements, uncorrected ... 21.55 kJ/mol of atoms

Unit cell a=4.4697 b=4.4697 c=4.6597 alpha=101.09 beta=101.09 gamma=38.34
Sites, in units of the cell vectors:
Co 0.0000 0.0000 0.0000
Co 0.7457 0.7457 0.2360
Tc 0.4870 0.4870 0.4262
Sb 0.2499 0.2499 0.7600